(1)
VASP calculation (PBE) on a geometry-optimized ReSbTe2S structure.

a b c (Å): 4.9889 4.9889 5.0317
angles (deg): 90.00 90.00 90.00
Element x y z (fractional)
1 Re 0.0000 0.0000 0.0000
2 Sb 0.5000 0.5000 0.0000
3 Te 0.0000 0.5000 0.5000
4 Te 0.5000 0.0000 0.5000
5 S 0.5000 0.5000 0.5000

## Properties
distance to the lowest polymorph of the same formula = 716 meV per atom
SG = No. 123
raw formation energy = 1506 meV/atom

(2)
VASP calculation (PBE) on a geometry-optimized CsBaZnF6 structure.

a b c (Å): 7.8382 7.8382 7.8382
angles (deg): 118.18 114.45 96.53
Element x y z (fractional)
1 Cs 0.3388 0.0888 0.2500
2 Cs 0.6612 0.9112 0.7500
3 Ba 0.0000 0.5000 0.5000
4 Ba 0.5000 0.5000 0.0000
5 Zn 0.0000 0.0000 0.5000
6 Zn 0.0000 0.5000 0.0000
7 F 0.0342 0.3351 0.1245
8 F 0.0342 0.9098 0.6992
9 F 0.0692 0.3192 0.7500
10 F 0.2894 0.0902 0.6245
11 F 0.2894 0.6649 0.1992
12 F 0.3842 0.6342 0.7500
13 F 0.6158 0.3658 0.2500
14 F 0.7106 0.3351 0.8008
15 F 0.7106 0.9098 0.3755
16 F 0.9308 0.6808 0.2500
17 F 0.9658 0.0902 0.3008
18 F 0.9658 0.6649 0.8755

## Properties
SG = No. 74
raw formation energy = -2710 meV/atom

Q: Which value of raw formation energy does entry 2 give?
A: -2710 meV/atom

Q: What is the formula in the first record?
A: ReSbTe2S

Please write out number 1 again, unchanged.
VASP calculation (PBE) on a geometry-optimized ReSbTe2S structure.

a b c (Å): 4.9889 4.9889 5.0317
angles (deg): 90.00 90.00 90.00
Element x y z (fractional)
1 Re 0.0000 0.0000 0.0000
2 Sb 0.5000 0.5000 0.0000
3 Te 0.0000 0.5000 0.5000
4 Te 0.5000 0.0000 0.5000
5 S 0.5000 0.5000 0.5000

## Properties
distance to the lowest polymorph of the same formula = 716 meV per atom
SG = No. 123
raw formation energy = 1506 meV/atom